Here is Ba2MnGePd6 after structural relaxation from Alexandria via LeMat-Bulk. Energies are from PBE-GGA.

Properties
* density of states at the Fermi level: 2.7 states/eV per cell
* E_tot: -52.880 eV per cell
* volume: 22.629 Å³ per atom

Cell: 6.7759 6.7892 6.7984 Å, 61.04 61.06 60.99°
Last column: nearest neighbours and their distance in Å.
Space group P-1 (No. 2)
Asymmetric unit:
Ba: 0.2111 0.2107 0.2105 x2  6 Pd 3.24-3.59, 1 Mn 3.48
Mn: 0.0000 0.0000 0.0000 x1  6 Pd 2.51
Ge: 0.5000 0.5000 0.5000 x1  6 Pd 2.52
Pd: 0.2462 0.6498 0.2492 x2  1 Mn 2.51, 1 Ge 2.52, 2 Pd 2.77
Pd: 0.2485 0.2469 0.6497 x2  1 Mn 2.51, 1 Ge 2.52, 2 Pd 2.77
Pd: 0.3496 0.7512 0.7530 x2  1 Mn 2.51, 1 Ge 2.52, 2 Pd 2.77

***

Here is Ba2MnGe3Pt4 after structural relaxation from Alexandria via LeMat-Bulk. Energies are from PBE-GGA.

Properties
* density of states at the Fermi level: 5.4 states/eV per cell
* E_tot: -57.599 eV per cell
* volume: 21.400 Å³ per atom

Cell: 4.5062 4.5062 10.5389 Å, 90.00 90.00 90.00°
Last column: nearest neighbours and their distance in Å.
Space group P-4m2 (No. 115)
Asymmetric unit:
Ba: 0.0000 0.5000 0.2490 x2  8 Pt 3.43-3.47, 2 Mn 3.46, 6 Ge 3.46-3.47
Mn: 0.5000 0.5000 0.0000 x1  4 Pt 2.63
Ge: 0.0000 0.0000 0.0000 x1  4 Pt 2.63
Ge: 0.0000 0.5000 0.6199 x2  5 Pt 2.58-2.64
Pt: 0.0000 0.0000 0.5000 x1  4 Ge 2.58
Pt: 0.0000 0.5000 0.8706 x2  3 Ge 2.63-2.64, 2 Mn 2.63
Pt: 0.5000 0.5000 0.5000 x1  4 Ge 2.58

***

Here is Ba2MnGe4Pt3 after structural relaxation from Alexandria via LeMat-Bulk. Energies are from PBE-GGA.

Properties
* density of states at the Fermi level: 4.5 states/eV per cell
* E_tot: -56.004 eV per cell
* volume: 21.448 Å³ per atom

Cell: 4.5099 4.5099 10.5448 Å, 90.00 90.00 90.00°
Last column: nearest neighbours and their distance in Å.
Space group P-4m2 (No. 115)
Asymmetric unit:
Ba: 0.0000 0.5000 0.2474 x2  8 Ge 3.45-3.47, 6 Pt 3.46-3.49, 2 Mn 3.49
Mn: 0.0000 0.0000 0.5000 x1  4 Ge 2.60
Ge: 0.0000 0.0000 0.0000 x1  4 Pt 2.58
Ge: 0.0000 0.5000 0.6218 x2  3 Pt 2.60-2.73, 2 Mn 2.60
Ge: 0.5000 0.5000 0.0000 x1  4 Pt 2.58
Pt: 0.0000 0.5000 0.8810 x2  5 Ge 2.58-2.73
Pt: 0.5000 0.5000 0.5000 x1  4 Ge 2.60

***

Question: The lowest E_tot belongs to which entry?
Answer: Ba2MnGe3Pt4